Entry 1:
Computed, not measured: a PBEsol-optimized structure of CrCdNi2 at the meta-GGA SCAN level of DFT.

Lattice parameters (Å, degrees): 2.883 2.883 6.225 90.00 90.00 90.00
Fractional coordinates of all 4 atoms:
Cr 0.000 0.000 0.000
Cd 0.000 0.000 0.500
Ni 0.500 0.500 0.209
Ni 0.500 0.500 0.791

Calculated formation energy   70.0 meV per atom
Size of the total moment   3.29 μB/f.u.
Symmetry   P4/mmm, No. 123
Crystal system   tetragonal

Entry 2:
Computed, not measured: a PBEsol-optimized structure of ZnRe2Ag at the meta-GGA SCAN level of DFT.

Lattice parameters (Å, degrees): 8.922 2.697 4.960 90.00 97.06 90.00
Fractional coordinates of all 8 atoms:
Zn 0.000 0.000 0.000
Zn 0.500 0.500 0.000
Re 0.247 0.500 0.296
Re 0.497 0.000 0.486
Re 0.747 0.000 0.296
Re 0.997 0.500 0.486
Ag 0.249 0.000 0.798
Ag 0.749 0.500 0.798

Calculated formation energy   384.6 meV per atom
Size of the total moment   0.00 μB/f.u.
Symmetry   Cm, No. 8
Crystal system   monoclinic

Entry 3:
Computed, not measured: a PBEsol-optimized structure of MoIr2 at the meta-GGA SCAN level of DFT.

Lattice parameters (Å, degrees): 2.723 2.723 6.726 90.00 90.00 120.00
Fractional coordinates of all 3 atoms:
Mo 0.000 0.000 0.000
Ir 0.333 0.667 0.674
Ir 0.667 0.333 0.326

Calculated formation energy   -172.8 meV per atom
Size of the total moment   0.00 μB/f.u.
Symmetry   P-3m1, No. 164
Crystal system   trigonal

Entry 4:
Computed, not measured: a PBEsol-optimized structure of RuWOF2 at the meta-GGA SCAN level of DFT.

Lattice parameters (Å, degrees): 4.128 4.128 3.822 90.00 90.00 90.00
Fractional coordinates of all 5 atoms:
Ru 0.000 0.000 0.000
W 0.500 0.500 0.500
O 0.500 0.500 0.000
F 0.000 0.500 0.500
F 0.500 0.000 0.500

Size of the total moment   1.39 μB/f.u.
Symmetry   P4/mmm, No. 123
Formation energy from raw total energies   -2.38 eV per formula unit
Crystal system   tetragonal

Entry 5:
Computed, not measured: a PBEsol-optimized structure of FeBRuSe2 at the meta-GGA SCAN level of DFT.

Lattice parameters (Å, degrees): 4.428 4.428 4.415 90.00 90.00 90.00
Fractional coordinates of all 5 atoms:
Fe 0.000 0.000 0.000
B 0.500 0.500 0.500
Ru 0.000 0.000 0.500
Se 0.000 0.500 0.000
Se 0.500 0.000 0.000

Size of the total moment   5.03 μB/f.u.
Symmetry   P4/mmm, No. 123
Formation energy from raw total energies   8.38 eV per formula unit
Crystal system   tetragonal

Entry 6:
Computed, not measured: a PBEsol-optimized structure of Sr2DyGaCu2O7 at the meta-GGA SCAN level of DFT.

Lattice parameters (Å, degrees): 12.029 12.029 12.029 36.87 153.92 154.39
Fractional coordinates of all 26 atoms:
Sr 0.015 0.150 0.165
Sr 0.015 0.350 0.364
Sr 0.985 0.650 0.636
Sr 0.985 0.850 0.835
Dy 0.998 0.498 0.500
Dy 0.998 0.998 0.000
Ga 0.471 0.790 0.181
Ga 0.609 0.290 0.819
Cu 0.497 0.569 0.071
Cu 0.497 0.927 0.428
Cu 0.499 0.069 0.572
Cu 0.499 0.427 0.929
O 0.006 0.644 0.862
O 0.434 0.150 0.634
O 0.434 0.299 0.784
O 0.496 0.183 0.186
O 0.496 0.811 0.813
O 0.502 0.312 0.314
O 0.502 0.688 0.690
O 0.515 0.650 0.216
O 0.515 0.799 0.366
O 0.782 0.144 0.138
O 0.998 0.188 0.686
O 0.998 0.311 0.814
O 0.998 0.683 0.187
O 0.998 0.812 0.310

Size of the total moment   0.00 μB/f.u.
Symmetry   Ima2, No. 46
Formation energy from raw total energies   -30.90 eV per formula unit
Crystal system   orthorhombic